Record 1
VASP calculation (PBE) on an optimized crystal structure of Pr2HoTe2As2.

Cell and atoms, written as POSCAR:
```
Pr2HoTe2As2
1.0
-2.655 2.655 7.955
2.655 -2.655 7.955
2.655 2.655 -7.955
Pr Ho Te As
2 1 2 2
Direct
0.114 0.114 0.000 Pr
0.886 0.886 0.000 Pr
0.500 0.500 0.000 Ho
0.310 0.310 0.000 Te
0.690 0.690 0.000 Te
0.000 0.500 0.500 As
0.500 0.000 0.500 As
```

Computed properties:
- energy (eV per atom) = -5.2963
- DOS at the Fermi energy (states/eV per cell) = 5.63
- SG = I4/mmm, No. 139
- energy relative to the elements, uncorrected (eV/f.u.) = -7.4
- ρ (g cm⁻³) = 6.307


Record 2
VASP calculation (PBE) on an optimized crystal structure of LiMg2Be.

Cell and atoms, written as POSCAR:
```
LiMg2Be
1.0
0.000 3.238 3.238
3.238 0.000 3.238
3.238 3.238 0.000
Li Mg Be
1 2 1
Direct
0.000 0.000 0.000 Li
0.250 0.250 0.250 Mg
0.500 0.500 0.500 Mg
0.750 0.750 0.750 Be
```

Computed properties:
- energy (eV per atom) = -1.9797
- DOS at the Fermi energy (states/eV per cell) = 0.84
- DFT formation energy (eV per atom) = 0.23
- SG = F-43m, No. 216
- ρ (g cm⁻³) = 1.579


Record 3
VASP calculation (PBE) on an optimized crystal structure of NaPm8Ge6.

Cell and atoms, written as POSCAR:
```
NaPm8Ge6
1.0
4.477 2.585 6.141
-4.477 2.585 6.141
0.000 -5.169 6.141
Na Pm Ge
1 8 6
Direct
0.000 0.000 0.000 Na
0.104 0.780 0.409 Pm
0.220 0.591 0.896 Pm
0.331 0.331 0.331 Pm
0.409 0.104 0.780 Pm
0.591 0.896 0.220 Pm
0.669 0.669 0.669 Pm
0.780 0.409 0.104 Pm
0.896 0.220 0.591 Pm
0.067 0.420 0.729 Ge
0.271 0.933 0.580 Ge
0.420 0.729 0.067 Ge
0.580 0.271 0.933 Ge
0.729 0.067 0.420 Ge
0.933 0.580 0.271 Ge
```

Computed properties:
- energy (eV per atom) = -5.0874
- DOS at the Fermi energy (states/eV per cell) = 5.46
- DFT formation energy (eV per atom) = -0.62
- SG = R-3, No. 148
- ρ (g cm⁻³) = 6.305


Record 4
VASP calculation (PBE) on an optimized crystal structure of GaSi2Ge.

Cell and atoms, written as POSCAR:
```
GaSi2Ge
1.0
0.000 3.233 3.233
3.233 0.000 3.233
3.233 3.233 0.000
Ga Si Ge
1 2 1
Direct
0.000 0.000 0.000 Ga
0.250 0.250 0.250 Si
0.750 0.750 0.750 Si
0.500 0.500 0.500 Ge
```

Computed properties:
- energy (eV per atom) = -4.1702
- energy relative to the lowest polymorph listed for this composition (eV/atom) = 0.286
- DOS at the Fermi energy (states/eV per cell) = 1.78
- SG = Fm-3m, No. 225
- energy relative to the elements, uncorrected (eV/f.u.) = 1.8
- ρ (g cm⁻³) = 4.876